DFT (GGA-PBE) results for a relaxed structure of Y2AsPt2.

Lattice parameters (Å, degrees): 5.4178 5.4178 5.5569 60.82 60.82 90.00
Positions (direct):
Pt 0.3444 0.3444 0.3112
Y 0.7500 0.2500 0.5000
As 0.0000 0.0000 0.0000
Pt 0.6556 0.6556 0.6888
Y 0.2500 0.7500 0.5000

Calculated values
**Energy relative to the lowest polymorph listed for this composition**: 0.181 eV per atom
**Formation energy from the elements**: -0.874 eV/atom
**N(E_F)**: 0.679 states/eV per atom
**Size of the total moment**: 0.00 μB/atom

***

DFT (GGA-PBE) results for a relaxed structure of Y2AsPt.

Lattice parameters (Å, degrees): 7.2592 7.2592 7.2592 33.95 33.95 33.95
Last column: magnetic moment on the atom in μB.
Positions (direct):
Y 0.0340 0.0340 0.0340  0.08
As 0.4700 0.4700 0.4700  0.00
Y 0.2156 0.2156 0.2156  -0.02
Pt 0.7805 0.7805 0.7805  0.01

Calculated values
**Energy relative to the lowest polymorph listed for this composition**: 0.497 eV per atom
**Formation energy from the elements**: -0.814 eV/atom
**N(E_F)**: 0.672 states/eV per atom
**Size of the total moment**: 0.05 μB/atom

***

DFT (GGA-PBE) results for a relaxed structure of Y2AsPt2.

Lattice parameters (Å, degrees): 7.5864 7.5864 3.7548 90.00 90.00 90.00
Positions (direct):
Y 0.1752 0.6752 0.5000
As 0.5000 0.5000 0.0000
Pt 0.8725 0.6275 0.0000
Y 0.8248 0.3248 0.5000
Y 0.3248 0.1752 0.5000
Y 0.6752 0.8248 0.5000
Pt 0.1275 0.3725 0.0000
Pt 0.6275 0.1275 0.0000
As 0.0000 0.0000 0.0000
Pt 0.3725 0.8725 0.0000

Calculated values
**Energy relative to the lowest polymorph listed for this composition**: 0.000 eV per atom
**Formation energy from the elements**: -1.055 eV/atom
**N(E_F)**: 0.740 states/eV per atom
**Size of the total moment**: 0.00 μB/atom

***

DFT (GGA-PBE) results for a relaxed structure of YAsPt3.

Lattice parameters (Å, degrees): 4.7256 4.7256 4.7256 90.00 90.00 90.00
Positions (direct):
Pt 0.5000 0.0000 0.0000
Pt 0.0000 0.0000 0.5000
Y 0.5000 0.5000 0.5000
Pt 0.0000 0.5000 0.0000
As 0.0000 0.0000 0.0000

Calculated values
**Energy relative to the lowest polymorph listed for this composition**: 0.000 eV per atom
**Formation energy from the elements**: -0.401 eV/atom
**N(E_F)**: 0.322 states/eV per atom
**Size of the total moment**: 0.00 μB/atom

***

DFT (GGA-PBE) results for a relaxed structure of YAsPt2.

Lattice parameters (Å, degrees): 5.4753 5.4753 5.4753 47.03 47.03 47.03
Positions (direct):
Pt 0.5362 0.5362 0.5362
Y 0.7500 0.7500 0.7500
Pt 0.9638 0.9638 0.9638
As 0.2500 0.2500 0.2500

Calculated values
**Formation energy from the elements**: -0.782 eV/atom
**N(E_F)**: 0.495 states/eV per atom
**Size of the total moment**: 0.00 μB/atom

***

DFT (GGA-PBE) results for a relaxed structure of YAsPt2.

Lattice parameters (Å, degrees): 4.8413 4.8413 8.6329 73.72 73.72 90.00
Positions (direct):
Pt 0.2249 0.6250 0.2500
Pt 0.3750 0.4749 0.7500
As 0.5000 0.5000 0.0000
Y 0.7500 0.2500 0.5000
Pt 0.5251 0.1250 0.2500
As 0.2500 0.7500 0.5000
Y 0.0000 0.0000 0.0000
Pt 0.8750 0.7751 0.7500

Calculated values
**Formation energy from the elements**: -0.670 eV/atom
**N(E_F)**: 0.241 states/eV per atom
**Size of the total moment**: 0.00 μB/atom